First-principles (PBE-GGA) data for a relaxed structure of Pr2InNi4Sb3, as listed in the Alexandria database.

Summary:
Fermi-level density of states (states/eV/f.u.): 5.91
Theoretical density (g/cm3): 8.2
E (eV per atom): -5.40
Raw formation energy (eV/atom): -0.619
Total magnetic moment (μB per atom): 0.000

Lattice parameters (Å, degrees): 4.4147 4.4147 10.3233 90.00 90.00 90.00
Space group P-4m2 (No. 115)
Asymmetric unit:
Pr: 0.0000 0.5000 0.2376
In: 0.0000 0.0000 0.5000
Ni: 0.0000 0.0000 0.0000
Ni: 0.0000 0.5000 0.6307
Ni: 0.5000 0.5000 0.0000
Sb: 0.0000 0.5000 0.8728
Sb: 0.5000 0.5000 0.5000